1.
A relaxed structure of BaNd2Pd. Source: Alexandria, functional PBE-GGA.

Cell and atoms, written as CIF:
```
data_BaNd2Pd
_chemical_formula_sum 'Ba1 Nd2 Pd1'
_space_group_name_H-M_alt 'P 4/m m m'
_space_group_IT_number 123
_space_group_name_Hall '-P 4 2'
_cell_length_a 3.733
_cell_length_b 3.733
_cell_length_c 9.933
_cell_angle_alpha 90.00
_cell_angle_beta 90.00
_cell_angle_gamma 90.00
loop_
_atom_site_label
_atom_site_type_symbol
_atom_site_fract_x
_atom_site_fract_y
_atom_site_fract_z
Ba1 Ba 0.000 0.000 0.000
Nd1 Nd 0.500 0.500 0.333
Pd1 Pd 0.000 0.000 0.500
```

## Properties
For the energy above the lowest structure with this stoichiometry, the calculation gives 5 meV/atom. The total magnetization is 0.00 Bohr magnetons per cell. The formation enthalpy at 0 K comes out at -99 kJ/mol of formula units.



2.
A relaxed structure of Nd4NiAg. Source: Alexandria, functional PBE-GGA.

Cell and atoms, written as CIF:
```
data_Nd4NiAg
_chemical_formula_sum 'Nd8 Ni2 Ag2'
_space_group_name_H-M_alt 'P 1 21/m 1'
_space_group_IT_number 11
_cell_length_a 6.218
_cell_length_b 7.134
_cell_length_c 8.308
_cell_angle_alpha 90.00
_cell_angle_beta 110.09
_cell_angle_gamma 90.00
loop_
_space_group_symop_operation_xyz
'x,y,z'
'-x,-y,-z'
'-x,y+1/2,-z'
'x,-y+1/2,z'
loop_
_atom_site_label
_atom_site_type_symbol
_atom_site_fract_x
_atom_site_fract_y
_atom_site_fract_z
Nd1 Nd 0.019 0.003 0.224
Nd2 Nd 0.413 0.250 0.627
Nd3 Nd 0.433 0.250 0.084
Ni1 Ni 0.216 0.750 0.055
Ag1 Ag 0.214 0.750 0.555
```

## Properties
For the energy above the lowest structure with this stoichiometry, the calculation gives 0 meV/atom. The total magnetization is 0.00 Bohr magnetons per cell. The formation enthalpy at 0 K comes out at -90 kJ/mol of formula units.



3.
A relaxed structure of Ce12PmIr7. Source: Alexandria, functional PBE-GGA.

Cell and atoms, written as CIF:
```
data_Ce12PmIr7
_chemical_formula_sum 'Ce36 Pm3 Ir21'
_space_group_name_H-M_alt 'R -3 m'
_space_group_IT_number 166
_space_group_name_Hall '-R 3 2"'
_cell_length_a 14.0304
_cell_length_b 14.0304
_cell_length_c 9.5911
_cell_angle_alpha 90.00
_cell_angle_beta 90.00
_cell_angle_gamma 120.00
loop_
_atom_site_label
_atom_site_type_symbol
_atom_site_fract_x
_atom_site_fract_y
_atom_site_fract_z
Ce1 Ce 0.0000 0.2738 0.0000
Ce2 Ce 0.0927 0.1855 0.3350
Pm1 Pm 0.0000 0.0000 0.0000
Ir1 Ir 0.0000 0.0000 0.5000
Ir2 Ir 0.1077 0.2154 0.8040
```

## Properties
The total magnetization is 26.24 Bohr magnetons per cell. The formation enthalpy at 0 K comes out at -906 kJ/mol of formula units.



4.
A relaxed structure of PrGaPt. Source: Alexandria, functional PBE-GGA.

Cell and atoms, written as CIF:
```
data_PrGaPt
_chemical_formula_sum 'Pr4 Ga4 Pt4'
_space_group_name_H-M_alt 'I 41 m d'
_space_group_IT_number 109
_space_group_name_Hall 'I 4bw -2'
_cell_length_a 4.256
_cell_length_b 4.256
_cell_length_c 15.283
_cell_angle_alpha 90.00
_cell_angle_beta 90.00
_cell_angle_gamma 90.00
loop_
_atom_site_label
_atom_site_type_symbol
_atom_site_fract_x
_atom_site_fract_y
_atom_site_fract_z
Pr1 Pr 0.000 0.000 0.000
Ga1 Ga 0.000 0.000 0.585
Pt1 Pt 0.000 0.000 0.420
```

## Properties
The total magnetization is 0.00 Bohr magnetons per cell. The formation enthalpy at 0 K comes out at -278 kJ/mol of formula units.



Respective DOS at the Fermi energy values: 5.135 12.215 167.482 10.793 states/eV per cell.